CeAgMo2O8: optimized geometry, GGA+U.

The structure in POSCAR format:
```
CeAgMo2O8
1.0
6.163 0.000 0.000
-3.082 5.338 0.000
0.000 0.000 6.736
Ce Ag Mo O
1 1 2 8
direct
0.000 0.000 0.000
0.000 0.000 0.500
0.333 0.667 0.307
0.667 0.333 0.693
0.169 0.827 0.221
0.173 0.342 0.221
0.333 0.667 0.565
0.342 0.169 0.779
0.658 0.831 0.221
0.667 0.333 0.435
0.827 0.658 0.779
0.831 0.173 0.779
```

The calculation puts the calculated total energy at -84.224 eV for the cell shown. As for the density of states at the Fermi level: 6.42 states/eV/f.u. As for the density: 4.26 g cm⁻³. As for the total magnetic moment: 1.0 μB/cell.